(1)
Here is a relaxed structure of VCo2Cu from the Alexandria database. Energies are from PBE.

As for the raw total energy: -6.49 eV per atom. The calculated volume comes out at 198.9 Å³/cell. The calculation puts the density of states at the Fermi level at 0.279 states/eV per atom. The calculation puts the formation energy from the elements at 1.486 eV per formula unit.

It has space group I-42d (No. 122), with a = 6.2608 Å, b = 6.2608 Å, c = 5.0740 Å, α = 90.00°, β = 90.00° and γ = 90.00°. The asymmetric unit holds V at (0.0000, 0.0000, 0.0000), Co at (0.2246, 0.2500, 0.1250) and Cu at (0.0000, 0.0000, 0.5000).

=====

(2)
Here is a relaxed structure of VCo2Cu from the Alexandria database. Energies are from PBE.

As for the raw total energy: -6.89 eV per atom. The calculated volume comes out at 45.9 Å³/cell. The calculation puts the density of states at the Fermi level at 0.700 states/eV per atom. The calculation puts the formation energy from the elements at -0.137 eV per formula unit.

It has space group P4/mmm (No. 123), with a = 2.9162 Å, b = 2.9162 Å, c = 5.3958 Å, α = 90.00°, β = 90.00° and γ = 90.00°. The asymmetric unit holds V at (0.0000, 0.0000, 0.0000), Co at (0.5000, 0.5000, 0.2405) and Cu at (0.0000, 0.0000, 0.5000).

=====

(3)
Here is a relaxed structure of VCo2Cu from the Alexandria database. Energies are from PBE.

As for the raw total energy: -6.90 eV per atom. The calculated volume comes out at 45.1 Å³/cell. The calculation puts the density of states at the Fermi level at 0.238 states/eV per atom. The calculation puts the formation energy from the elements at -0.154 eV per formula unit.

It has space group P4/mmm (No. 123), with a = 3.6993 Å, b = 3.6993 Å, c = 3.2963 Å, α = 90.00°, β = 90.00° and γ = 90.00°. The asymmetric unit holds V at (0.0000, 0.0000, 0.0000), Co at (0.0000, 0.5000, 0.5000) and Cu at (0.5000, 0.5000, 0.0000).

=====

(4)
Here is a relaxed structure of V3CoCu from the Alexandria database. Energies are from PBE.

As for the raw total energy: -6.85 eV per atom. The calculated volume comes out at 78.6 Å³/cell. The calculation puts the density of states at the Fermi level at 1.190 states/eV per atom. The energy above the most stable polymorph in this dataset is 0.0 meV/atom. The calculation puts the formation energy from the elements at 4.303 eV per formula unit.

It has space group Pm-3m (No. 221), with a = 4.2829 Å, b = 4.2829 Å, c = 4.2829 Å, α = 90.00°, β = 90.00° and γ = 90.00°. The asymmetric unit holds V at (0.0000, 0.0000, 0.5000), Co at (0.0000, 0.0000, 0.0000) and Cu at (0.5000, 0.5000, 0.5000).

=====

(5)
Here is a relaxed structure of V2Co2Cu from the Alexandria database. Energies are from PBE.

As for the raw total energy: -7.34 eV per atom. The calculated volume comes out at 122.0 Å³/cell. The calculation puts the density of states at the Fermi level at 1.053 states/eV per atom. The calculation puts the formation energy from the elements at -0.157 eV per formula unit.

It has space group P4/mbm (No. 127), with a = 6.7315 Å, b = 6.7315 Å, c = 2.6917 Å, α = 90.00°, β = 90.00° and γ = 90.00°. The asymmetric unit holds V at (0.1677, 0.3323, 0.0000), Co at (0.1324, 0.6324, 0.5000) and Cu at (0.0000, 0.0000, 0.5000).

=====

(6)
Here is a relaxed structure of VZnCoCu from the Alexandria database. Energies are from PBE.

As for the raw total energy: -5.39 eV per atom. The calculated volume comes out at 196.9 Å³/cell. The calculation puts the density of states at the Fermi level at 0.877 states/eV per atom. The calculation puts the formation energy from the elements at 0.040 eV per formula unit.

It has space group F-43m (No. 216), with a = 5.8181 Å, b = 5.8181 Å, c = 5.8181 Å, α = 90.00°, β = 90.00° and γ = 90.00°. The asymmetric unit holds V at (0.0000, 0.0000, 0.0000), Zn at (0.0000, 0.0000, 0.5000), Co at (0.2500, 0.2500, 0.7500) and Cu at (0.2500, 0.2500, 0.2500).

=====

(7)
Here is a relaxed structure of Co2CuW2 from the Alexandria database. Energies are from PBE.

As for the raw total energy: -8.62 eV per atom. The calculated volume comes out at 135.3 Å³/cell. The calculation puts the density of states at the Fermi level at 0.705 states/eV per atom. The energy above the most stable polymorph in this dataset is 0.0 meV/atom. The calculation puts the formation energy from the elements at 1.100 eV per formula unit.

It has space group P4/mbm (No. 127), with a = 7.0810 Å, b = 7.0810 Å, c = 2.6984 Å, α = 90.00°, β = 90.00° and γ = 90.00°. The asymmetric unit holds Co at (0.1251, 0.3749, 0.0000), Cu at (0.0000, 0.0000, 0.0000) and W at (0.1700, 0.6700, 0.5000).

=====

(8)
Here is a relaxed structure of Co2CuW from the Alexandria database. Energies are from PBE.

As for the raw total energy: -7.62 eV per atom. The calculated volume comes out at 50.1 Å³/cell. The calculation puts the density of states at the Fermi level at 0.893 states/eV per atom. The energy above the most stable polymorph in this dataset is 143.8 meV/atom. The calculation puts the formation energy from the elements at 0.786 eV per formula unit.

It has space group P4mm (No. 99), with a = 2.6313 Å, b = 2.6313 Å, c = 7.2419 Å, α = 90.00°, β = 90.00° and γ = 90.00°. The asymmetric unit holds Co at (0.0000, 0.0000, 0.0000), Co at (0.5000, 0.5000, 0.2127), Cu at (0.0000, 0.0000, 0.4553) and W at (0.5000, 0.5000, 0.7322).

=====

Please write out number 5 again, unchanged.
Here is a relaxed structure of V2Co2Cu from the Alexandria database. Energies are from PBE.

As for the raw total energy: -7.34 eV per atom. The calculated volume comes out at 122.0 Å³/cell. The calculation puts the density of states at the Fermi level at 1.053 states/eV per atom. The calculation puts the formation energy from the elements at -0.157 eV per formula unit.

It has space group P4/mbm (No. 127), with a = 6.7315 Å, b = 6.7315 Å, c = 2.6917 Å, α = 90.00°, β = 90.00° and γ = 90.00°. The asymmetric unit holds V at (0.1677, 0.3323, 0.0000), Co at (0.1324, 0.6324, 0.5000) and Cu at (0.0000, 0.0000, 0.5000).